Density functional theory data (PBEsol) for a relaxed structure of CoRuSe2.

Mass density, g/cm³: 7.06
Energy above the most stable polymorph in this dataset, kJ/mol of formula units: 0.0
SG: No. 115
E_form (uncorrected), eV/atom: -0.242
E_tot, eV/cell: -26.578

Cell: 3.7485 3.7504 5.3182 Å, 90.03 90.00 90.00°
Sites, in units of the cell vectors:
Ru 0.5000 0.1250 0.6249
Co 0.0000 0.6250 0.6251
Se 0.0000 0.1252 0.8921
Se 0.5000 0.6248 0.3579